# 1
Entry from Alexandria: a relaxed NdScSnAu crystal (PBE).

Properties
**Symmetry**: F-43m, No. 216
**V**: 24.63 Å³ per atom
**Formation enthalpy at 0 K**: -650 meV per atom
**Crystal system**: cubic
**Calculated total energy**: -5.245 eV per atom

```
NdScSnAu
1.0
5.1839 0.0000 0.0000
2.5919 4.4894 0.0000
2.5919 1.4965 4.2326
Sc Nd Au Sn
1 1 1 1
direct
0.5000 0.5000 0.5000
0.0000 0.0000 0.0000
0.7500 0.7500 0.7500
0.2500 0.2500 0.2500
```

# 2
Entry from Alexandria: a relaxed NdScTlAu crystal (PBE).

Properties
**Symmetry**: F-43m, No. 216
**V**: 24.90 Å³ per atom
**Formation enthalpy at 0 K**: -485 meV per atom
**Crystal system**: cubic
**Calculated total energy**: -4.670 eV per atom

```
NdScTlAu
1.0
-0.8026 0.8883 -5.0636
-4.8534 0.3535 -1.8420
-1.8574 4.5991 -1.5721
Sc Nd Tl Au
1 1 1 1
direct
0.2500 0.2500 0.2500
0.7500 0.7500 0.7500
0.5000 0.5000 0.5000
0.0000 0.0000 0.0000
```

# 3
Entry from Alexandria: a relaxed NdTmSc2Au4 crystal (PBE).

Properties
**Symmetry**: R-3m, No. 166
**V**: 22.34 Å³ per atom
**Formation enthalpy at 0 K**: -790 meV per atom
**Crystal system**: trigonal
**Calculated total energy**: -5.167 eV per atom

```
NdTmSc2Au4
1.0
4.8409 0.0000 0.0000
2.4205 4.1924 0.0000
2.4205 1.3975 8.8063
Nd Tm Sc Au
1 1 2 4
direct
0.0000 0.0000 0.0000
0.5000 0.5000 0.5000
0.7544 0.7544 0.7368
0.2456 0.2456 0.2632
0.3906 0.3906 0.8282
0.8795 0.8795 0.3615
0.1205 0.1205 0.6385
0.6094 0.6094 0.1718
```

# 4
Entry from Alexandria: a relaxed NdTm2ScAu4 crystal (PBE).

Properties
**Symmetry**: R-3m, No. 166
**V**: 22.71 Å³ per atom
**Formation enthalpy at 0 K**: -821 meV per atom
**Crystal system**: trigonal
**Calculated total energy**: -4.965 eV per atom

```
NdTm2ScAu4
1.0
4.9803 0.0000 0.0000
2.4901 4.3131 0.0000
2.4901 1.4377 8.4567
Nd Tm Sc Au
1 2 1 4
direct
0.0000 0.0000 0.0000
0.7535 0.7535 0.7394
0.2465 0.2465 0.2606
0.5000 0.5000 0.5000
0.3865 0.3865 0.8405
0.8708 0.8708 0.3876
0.1292 0.1292 0.6124
0.6135 0.6135 0.1595
```

# 5
Entry from Alexandria: a relaxed NdSc2ZnAu4 crystal (PBE).

Properties
**Symmetry**: R-3m, No. 166
**V**: 20.88 Å³ per atom
**Formation enthalpy at 0 K**: -669 meV per atom
**Crystal system**: trigonal
**Calculated total energy**: -4.646 eV per atom

```
NdSc2ZnAu4
1.0
-1.6251 -1.0977 -4.2940
3.0253 -0.9592 -3.4946
0.3400 -9.0596 -0.4075
Nd Sc Zn Au
1 2 1 4
direct
0.0000 0.0000 0.0000
0.7642 0.7642 0.7074
0.2358 0.2358 0.2926
0.5000 0.5000 0.5000
0.3952 0.3952 0.8144
0.8761 0.8761 0.3716
0.1239 0.1239 0.6284
0.6048 0.6048 0.1856
```

# 6
Entry from Alexandria: a relaxed NdScZnAu crystal (PBE).

Properties
**Symmetry**: P4mm, No. 99
**Energy relative to the lowest polymorph listed for this composition**: 0.0 kJ/mol of atoms
**V**: 22.14 Å³ per atom
**Formation enthalpy at 0 K**: -550 meV per atom
**Crystal system**: tetragonal
**Calculated total energy**: -4.463 eV per atom

```
NdScZnAu
1.0
3.5243 0.0000 0.0000
0.0000 3.5243 0.0000
0.0000 0.0000 7.1316
Nd Sc Zn Au
1 1 1 1
direct
0.5000 0.5000 0.6114
0.5000 0.5000 0.1067
0.0000 0.0000 0.8956
0.0000 0.0000 0.3143
```

# 7
Entry from Alexandria: a relaxed NdScZnAu crystal (PBE).

Properties
**Symmetry**: F-43m, No. 216
**Energy relative to the lowest polymorph listed for this composition**: 4.3 kJ/mol of atoms
**V**: 22.58 Å³ per atom
**Formation enthalpy at 0 K**: -505 meV per atom
**Crystal system**: cubic
**Calculated total energy**: -4.418 eV per atom

```
NdScZnAu
1.0
5.0360 0.0000 0.0000
2.5180 4.3613 0.0000
2.5180 1.4538 4.1118
Sc Nd Zn Au
1 1 1 1
direct
0.2500 0.2500 0.2500
0.7500 0.7500 0.7500
0.0000 0.0000 0.0000
0.5000 0.5000 0.5000
```

# 8
Entry from Alexandria: a relaxed NdAuSe crystal (PBE).

Properties
**Symmetry**: Cmcm, No. 63
**Raw formation energy**: -1.25 eV per atom
**Energy relative to the lowest polymorph listed for this composition**: 0.0 kJ/mol of atoms
**V**: 25.18 Å³ per atom
**Crystal system**: orthorhombic
**Calculated total energy**: -5.090 eV per atom

```
NdAuSe
1.0
4.2618 0.0000 0.0000
0.0000 5.6038 0.0000
-2.1309 0.0000 6.3267
Au Se Nd
2 2 2
direct
0.4682 0.7500 0.9365
0.5318 0.2500 0.0635
0.8048 0.7500 0.6097
0.1952 0.2500 0.3903
0.8657 0.2500 0.7314
0.1343 0.7500 0.2686
```

# 9
Entry from Alexandria: a relaxed Nd5AuSe8 crystal (PBE).

Properties
**Symmetry**: I-4, No. 82
**Raw formation energy**: -1.63 eV per atom
**V**: 25.55 Å³ per atom
**Crystal system**: tetragonal
**Calculated total energy**: -5.559 eV per atom

```
Nd5AuSe8
1.0
7.7465 -0.0217 0.0374
-2.6416 7.2822 -0.0374
-2.4634 -3.6929 6.3486
Nd Au Se
5 1 8
direct
0.0157 0.3810 0.1358
0.8642 0.8799 0.2451
0.7549 0.6190 0.6348
0.5000 0.0000 0.5000
0.3652 0.1201 0.9843
0.2500 0.5000 0.7500
0.1416 0.7502 0.0205
0.9795 0.1211 0.7297
0.7464 0.2365 0.3507
0.6493 0.3957 0.8858
0.4901 0.6043 0.2536
0.6086 0.8789 0.8584
0.2703 0.2498 0.3914
0.1142 0.7635 0.5099
```

# 10
Entry from Alexandria: a relaxed Nd3AuSe2 crystal (PBE).

Properties
**Symmetry**: Immm, No. 71
**Raw formation energy**: -1.47 eV per atom
**V**: 27.53 Å³ per atom
**Crystal system**: orthorhombic
**Calculated total energy**: -5.560 eV per atom

```
Nd3AuSe2
1.0
4.1808 0.0000 0.0000
0.0000 6.0460 0.0000
-2.0904 -3.0230 6.5346
Nd Au Se
3 1 2
direct
0.8287 0.3287 0.1573
0.1713 0.6713 0.8427
0.5000 0.0000 0.5000
0.5000 0.5000 0.5000
0.8352 0.8352 0.1705
0.1648 0.1648 0.8295
```

# 11
Entry from Alexandria: a relaxed Nd3AuSe crystal (PBE).

Properties
**Symmetry**: P2_1/m, No. 11
**Raw formation energy**: -0.99 eV per atom
**V**: 30.18 Å³ per atom
**Crystal system**: monoclinic
**Calculated total energy**: -5.206 eV per atom

```
Nd3AuSe
1.0
4.0894 0.0000 0.0000
0.0000 8.7323 -1.5158
0.0000 -0.4931 8.5362
Nd Au Se
6 2 2
direct
0.2500 0.0652 0.2865
0.2500 0.6115 0.3774
0.2500 0.3200 0.9892
0.7500 0.9348 0.7135
0.7500 0.6800 0.0108
0.7500 0.3885 0.6226
0.7500 0.3382 0.2546
0.2500 0.6618 0.7454
0.7500 0.8466 0.3549
0.2500 0.1534 0.6451
```

# 12
Entry from Alexandria: a relaxed Nd2AuSe crystal (PBE).

Properties
**Symmetry**: Cmcm, No. 63
**Raw formation energy**: -1.31 eV per atom
**Energy relative to the lowest polymorph listed for this composition**: 0.0 kJ/mol of atoms
**V**: 26.94 Å³ per atom
**Crystal system**: orthorhombic
**Calculated total energy**: -5.382 eV per atom

```
Nd2AuSe
1.0
-0.1524 2.1520 3.8635
-2.2964 -2.9904 1.5751
11.0003 -4.1961 2.7711
Nd Au Se
4 2 2
direct
0.7500 0.6845 0.3689
0.2500 0.3155 0.6311
0.7500 0.9329 0.8659
0.2500 0.0671 0.1341
0.2500 0.4560 0.9120
0.7500 0.5440 0.0880
0.2500 0.1913 0.3825
0.7500 0.8087 0.6175
```